A plane-wave DFT calculation with PBE was carried out for a relaxed Tl2ReTe crystal.

Cell lengths 6.328, 6.328, 6.328 Å; angles 140.53, 140.53, 57.06 degrees
Last column: magnetic moment on the atom in μB.
Atoms (fractional coordinates):
Tl1 0.500 0.500 0.000  -0.01
Tl2 0.000 0.000 0.000  -0.01
Te1 0.750 0.250 0.500  0.05
Re1 0.250 0.750 0.500  2.53

Uncorrected energy (eV/atom): -4.079
Formation energy (no corrections) (eV per atom): 1.00
Space-group type: I4/mmm
Energy relative to the lowest polymorph listed for this composition (eV per atom): 0.595

=====

A plane-wave DFT calculation with PBE was carried out for a relaxed Ba2NbTe5 crystal.

Cell lengths 8.048, 8.047, 7.407 Å; angles 122.90, 122.90, 90.01 degrees
Atoms (fractional coordinates):
Te1 0.776 0.776 0.035
Te2 0.258 0.258 0.035
Te3 0.699 0.699 0.399
Te4 0.258 0.776 0.035
Te5 0.776 0.258 0.035
Ba1 0.769 0.269 0.538
Ba2 0.269 0.769 0.538
Nb1 0.970 0.970 0.940

Uncorrected energy (eV/atom): -4.598
Formation energy (no corrections) (eV per atom): -0.90
Space-group type: I4mm

=====

A plane-wave DFT calculation with PBE was carried out for a relaxed Sr2SbRu crystal.

Cell lengths 11.148, 11.148, 8.277 Å; angles 47.67, 47.67, 90.00 degrees
Atoms (fractional coordinates):
Sr1 0.875 0.701 0.750
Sr2 0.375 0.549 0.750
Sr3 0.451 0.125 0.250
Sr4 0.299 0.625 0.250
Sb1 0.750 0.250 0.500
Sb2 0.000 0.000 0.000
Ru1 0.500 0.500 0.000
Ru2 0.250 0.750 0.500

Uncorrected energy (eV/atom): -4.330
Formation energy (no corrections) (eV per atom): -0.14
Space-group type: I-42d

=====

A plane-wave DFT calculation with PBE was carried out for a relaxed TbHgI crystal.

Cell lengths 3.906, 3.992, 13.146 Å; angles 89.86, 89.63, 90.00 degrees
Atoms (fractional coordinates):
I1 0.006 0.443 0.527
I2 0.523 0.949 0.809
Hg1 0.012 0.946 0.237
Hg2 0.516 0.447 0.099
Tb1 0.019 0.948 0.985
Tb2 0.510 0.445 0.351

Uncorrected energy (eV/atom): -2.879
Formation energy (no corrections) (eV per atom): -0.72
Space-group type: P-1

=====

A plane-wave DFT calculation with PBE was carried out for a relaxed Tb2HfF crystal.

Cell lengths 3.192, 3.192, 10.330 Å; angles 81.11, 81.11, 60.00 degrees
Atoms (fractional coordinates):
F1 0.500 0.500 0.500
Tb1 0.896 0.896 0.313
Tb2 0.104 0.104 0.687
Hf1 0.000 0.000 0.000

Uncorrected energy (eV/atom): -6.015
Formation energy (no corrections) (eV per atom): -0.74
Space-group type: R-3m

=====

A plane-wave DFT calculation with PBE was carried out for a relaxed LiB2C2 crystal.

Cell lengths 7.768, 7.768, 9.440 Å; angles 107.22, 107.22, 19.93 degrees
Atoms (fractional coordinates):
B1 0.875 0.875 0.107
B2 0.630 0.630 0.144
B3 0.376 0.376 0.354
B4 0.619 0.619 0.642
B5 0.127 0.127 0.894
B6 0.373 0.373 0.858
B7 0.873 0.873 0.605
B8 0.128 0.128 0.393
C1 0.134 0.134 0.232
C2 0.374 0.374 0.022
C3 0.374 0.374 0.519
C4 0.627 0.627 0.979
C5 0.117 0.117 0.725
C6 0.627 0.627 0.481
C7 0.876 0.876 0.271
C8 0.872 0.872 0.769
Li1 0.753 0.753 0.364
Li2 0.001 0.001 0.483
Li3 0.246 0.246 0.642
Li4 0.499 0.499 0.764

Uncorrected energy (eV/atom): -6.759
Space-group type: Cm
DFT formation energy (meV/atom): -15
Energy relative to the lowest polymorph listed for this composition (eV per atom): 0.054

=====

A plane-wave DFT calculation with PBE was carried out for a relaxed ZrTl2Br crystal.

Cell lengths 5.267, 5.267, 5.267 Å; angles 60.00, 60.00, 60.00 degrees
Last column: magnetic moment on the atom in μB.
Atoms (fractional coordinates):
Br1 0.500 0.500 0.500  -0.01
Tl1 0.000 0.000 0.000  0.02
Tl2 0.250 0.250 0.250  0.01
Zr1 0.750 0.750 0.750  0.40

Uncorrected energy (eV/atom): -3.536
Formation energy (no corrections) (eV per atom): 0.20
Space-group type: F-43m
Energy relative to the lowest polymorph listed for this composition (eV per atom): 0.599

=====

A plane-wave DFT calculation with PBE was carried out for a relaxed SmGd2S crystal.

Cell lengths 3.753, 3.753, 9.736 Å; angles 78.89, 78.89, 60.00 degrees
Last column: magnetic moment on the atom in μB.
Atoms (fractional coordinates):
Gd1 0.228 0.228 0.316  7.01
Gd2 0.772 0.772 0.684  7.01
Sm1 0.000 0.000 0.000  0.00
S1 0.500 0.500 0.500  -0.04

Uncorrected energy (eV/atom): -10.186
Formation energy (no corrections) (eV per atom): -0.93
Space-group type: R-3m

=====

A plane-wave DFT calculation with PBE was carried out for a relaxed Tb3YMg6 crystal.

Cell lengths 5.274, 9.294, 11.261 Å; angles 105.49, 90.00, 90.00 degrees
Atoms (fractional coordinates):
Tb1 0.750 0.648 0.204
Tb2 0.750 0.250 0.994
Tb3 0.250 0.540 0.397
Tb4 0.250 0.750 0.006
Tb5 0.750 0.460 0.603
Tb6 0.250 0.352 0.796
Mg1 0.250 0.856 0.304
Mg2 0.250 0.243 0.492
Mg3 0.750 0.559 0.900
Mg4 0.750 0.757 0.508
Mg5 0.750 0.953 0.099
Mg6 0.750 0.144 0.696
Mg7 0.750 0.855 0.805
Mg8 0.250 0.441 0.100
Mg9 0.250 0.145 0.195
Mg10 0.750 0.339 0.292
Mg11 0.250 0.047 0.901
Mg12 0.250 0.661 0.708
Y1 0.750 0.052 0.397
Y2 0.250 0.948 0.603

Uncorrected energy (eV/atom): -3.065
Space-group type: P2_1/m
DFT formation energy (meV/atom): -73

=====

A plane-wave DFT calculation with PBE was carried out for a relaxed ScCd2P crystal.

Cell lengths 4.940, 4.940, 5.667 Å; angles 66.80, 66.80, 43.22 degrees
Atoms (fractional coordinates):
P1 0.508 0.508 0.629
Cd1 0.987 0.987 0.009
Cd2 0.204 0.204 0.231
Sc1 0.801 0.801 0.631

Uncorrected energy (eV/atom): -3.738
Space-group type: Cm
DFT formation energy (meV/atom): -346